Tm4C2O | PBE | relaxed

abc: 3.4917 3.4917 11.8857
angles: 81.55 81.55 60.00
With the nearest neighbours (Å) after each atom.
Element x y z (fractional)
C1 0.5866 0.5866 0.2402  6 Tm 2.38-2.45
C2 0.4134 0.4134 0.7598  6 Tm 2.38-2.45
Tm1 0.7070 0.7070 0.8791  3 C 2.45, 3 O 2.46
Tm2 0.1161 0.1161 0.6516  3 C 2.38
Tm3 0.8839 0.8839 0.3484  3 C 2.38
Tm4 0.2930 0.2930 0.1209  3 C 2.45, 3 O 2.46
O1 0.0000 0.0000 0.0000  6 Tm 2.46

Energy relative to the elements, uncorrected, eV per formula unit: -8.3

---

CrFe2Ag | PBE | relaxed

abc: 5.0244 5.0244 5.0244
angles: 145.58 128.89 63.08
With the nearest neighbours (Å) after each atom.
Element x y z (fractional)
Ag1 0.5063 0.5063 0.0000  6 Fe 2.63-2.71, 4 Cr 2.78-2.90
Fe1 0.9913 0.9913 0.0000  2 Fe 2.40, 2 Cr 2.54, 4 Ag 2.63
Fe2 0.7708 0.2708 0.5000  2 Fe 2.40, 4 Cr 2.65
Cr1 0.2316 0.7316 0.5000  6 Fe 2.54-2.65, 2 Ag 2.78

ΔH_f (0 K), kJ/mol of atoms: 40.6
Excess energy over the best structure of this formula in the dataset, meV per atom: 99.9

---

Ac2ErAlO6 | PBE | relaxed

abc: 4.5835 5.6384 5.6384
angles: 90.00 90.00 90.00
With the nearest neighbours (Å) after each atom.
Element x y z (fractional)
O1 0.6986 0.7680 0.7680  1 Al 1.90
O2 0.2092 0.0000 0.0000  1 Al 1.81
O3 0.6986 0.2320 0.7680  1 Al 1.90
O4 0.1337 0.5000 0.5000  1 Er 2.16
O5 0.6986 0.7680 0.2320  1 Al 1.90
O6 0.6986 0.2320 0.2320  1 Al 1.90
Al1 0.6050 0.0000 0.0000  5 O 1.81-1.90
Ac1 0.0501 0.5000 0.0000  6 O 2.57-2.85
Ac2 0.0501 0.0000 0.5000  6 O 2.57-2.85
Er1 0.6043 0.5000 0.5000  5 O 2.16-2.18

Energy relative to the elements, uncorrected, eV per formula unit: -32.7

---

NdHo2Pd | PBE | relaxed

abc: 6.5378 7.1079 9.7123
angles: 90.00 90.00 90.00
With the nearest neighbours (Å) after each atom.
Element x y z (fractional)
Nd1 0.3656 0.4828 0.7500  2 Pd 2.97-3.03
Nd2 0.6344 0.5172 0.2500  2 Pd 2.97-3.03
Nd3 0.8656 0.0172 0.2500  2 Pd 2.97-3.03
Nd4 0.1344 0.9828 0.7500  2 Pd 2.97-3.03
Ho1 0.6719 0.8213 0.9395  2 Pd 2.84-2.88
Ho2 0.8281 0.3213 0.5605  2 Pd 2.84-2.88
Ho3 0.1719 0.6787 0.0605  2 Pd 2.84-2.88
Ho4 0.3281 0.1787 0.0605  2 Pd 2.84-2.88
Ho5 0.8281 0.3213 0.9395  2 Pd 2.84-2.88
Ho6 0.3281 0.1787 0.4395  2 Pd 2.84-2.88
Ho7 0.6719 0.8213 0.5605  2 Pd 2.84-2.88
Ho8 0.1719 0.6787 0.4395  2 Pd 2.84-2.88
Pd1 0.4236 0.8874 0.2500  4 Ho 2.84-2.88, 2 Nd 2.97-3.03
Pd2 0.5764 0.1126 0.7500  4 Ho 2.84-2.88, 2 Nd 2.97-3.03
Pd3 0.0764 0.3874 0.2500  4 Ho 2.84-2.88, 2 Nd 2.97-3.03
Pd4 0.9236 0.6126 0.7500  4 Ho 2.84-2.88, 2 Nd 2.97-3.03

ΔH_f (0 K), kJ/mol of atoms: -44.2
Excess energy over the best structure of this formula in the dataset, meV per atom: 0.0